Entry 1:
## Tb2NdIn2 (PBE-GGA)

Data for a relaxed Tb2NdIn2 crystal.

Lattice parameters (Å, degrees): 3.7957 5.4345 14.1714 90.00 97.71 90.00
Positions (direct):
Tb (0.0485, 0.2500, 0.0973)
Tb (0.2359, 0.2500, 0.4726)
Tb (0.7641, 0.7500, 0.5274)
Tb (0.9515, 0.7500, 0.9027)
Nd (0.1466, 0.7500, 0.2954)
Nd (0.8534, 0.2500, 0.7046)
In (0.3574, 0.7500, 0.7134)
In (0.4522, 0.2500, 0.9050)
In (0.5478, 0.7500, 0.0950)
In (0.6426, 0.2500, 0.2866)

total magnetic moment = 0.00 μB per formula unit
excess energy over the best structure of this formula in the dataset = 0 meV per atom
volume = 28.97 Å³/atom
energy = -42.8 eV for the cell shown
formation energy from the elements = -0.38 eV per atom



Entry 2:
## CeScAl2Ga2 (PBE-GGA)

Data for a relaxed CeScAl2Ga2 crystal.

Lattice parameters (Å, degrees): 4.4387 4.4387 7.0071 90.00 90.00 120.00
Positions (direct):
Ce (0.0000, 0.0000, 0.0000)
Sc (0.0000, 0.0000, 0.5000)
Al (0.3333, 0.6667, 0.7234)
Al (0.6667, 0.3333, 0.2766)
Ga (0.3333, 0.6667, 0.2753)
Ga (0.6667, 0.3333, 0.7247)

total magnetic moment = 0.65 μB per formula unit
volume = 19.93 Å³/atom
energy = -28.9 eV for the cell shown
formation energy from the elements = -0.52 eV per atom